1.
A relaxed MgTe2 crystal, computed with PBE-GGA.

a b c (Å): 4.1758 25.9660 4.0804
angles (deg): 90.00 90.00 90.00
Closest atoms and distances in Å follow each position.
Positions (direct):
1 Mg 0.0000 0.1865 0.0000  4 Te 2.93
2 Mg 0.0000 0.8135 0.0000  4 Te 2.93
3 Mg 0.5000 0.3135 0.0000  4 Te 2.93
4 Mg 0.5000 0.6865 0.0000  4 Te 2.93
5 Te 0.0000 0.0000 0.5000  4 Te 2.92
6 Te 0.0000 0.3244 0.5000  4 Mg 2.93
7 Te 0.0000 0.5000 0.0000  4 Te 2.92
8 Te 0.0000 0.6756 0.5000  4 Mg 2.93
9 Te 0.5000 0.0000 0.0000  4 Te 2.92
10 Te 0.5000 0.1756 0.5000  4 Mg 2.93
11 Te 0.5000 0.5000 0.5000  4 Te 2.92
12 Te 0.5000 0.8244 0.5000  4 Mg 2.93

Properties
Formation energy (no corrections)   -0.23 eV per atom
Symmetry   Cmmm (65)

=====

2.
A relaxed MgTe5 crystal, computed with PBE-GGA.

a b c (Å): 5.0977 11.4452 6.0734
angles (deg): 90.00 90.00 90.00
Closest atoms and distances in Å follow each position.
Positions (direct):
1 Mg 0.0000 0.0000 0.0000  4 Te 2.95
2 Mg 0.5000 0.5000 0.0000  4 Te 2.95
3 Te 0.0000 0.1709 0.5000  4 Te 3.13-3.21
4 Te 0.0000 0.3711 0.0000  2 Mg 2.95, 1 Te 2.95
5 Te 0.0000 0.5000 0.5000  8 Te 3.21-3.38
6 Te 0.0000 0.6289 0.0000  2 Mg 2.95, 1 Te 2.95
7 Te 0.0000 0.8291 0.5000  4 Te 3.13-3.21
8 Te 0.5000 0.0000 0.5000  8 Te 3.21-3.38
9 Te 0.5000 0.1289 0.0000  2 Mg 2.95, 1 Te 2.95
10 Te 0.5000 0.3291 0.5000  4 Te 3.13-3.21
11 Te 0.5000 0.6709 0.5000  4 Te 3.13-3.21
12 Te 0.5000 0.8711 0.0000  2 Mg 2.95, 1 Te 2.95

Properties
Energy above the lowest structure with this stoichiometry   194 meV per atom
Formation energy (no corrections)   0.05 eV per atom
Symmetry   Cmmm (65)

=====

3.
A relaxed MgTe5 crystal, computed with PBE-GGA.

a b c (Å): 6.3593 6.3593 6.3593
angles (deg): 60.00 60.00 60.00
Closest atoms and distances in Å follow each position.
Positions (direct):
1 Mg 0.0000 0.0000 0.0000  16 Te 3.73-3.89
2 Te 0.3751 0.3751 0.3751  6 Te 3.18
3 Te 0.3751 0.3751 0.8748  6 Te 3.18
4 Te 0.3751 0.8748 0.3751  6 Te 3.18
5 Te 0.7500 0.7500 0.7500  12 Te 3.73, 4 Mg 3.89
6 Te 0.8748 0.3751 0.3751  6 Te 3.18

Properties
Energy above the lowest structure with this stoichiometry   512 meV per atom
Formation energy (no corrections)   0.36 eV per atom
Symmetry   F-43m (216)

=====

4.
A relaxed Mg3Te2 crystal, computed with PBE-GGA.

a b c (Å): 4.1645 4.1645 27.8862
angles (deg): 90.00 90.00 120.00
Closest atoms and distances in Å follow each position.
Positions (direct):
1 Mg 0.0000 0.0000 0.0000  6 Te 2.97
2 Mg 0.0000 0.0000 0.2094  3 Te 2.95
3 Mg 0.0000 0.0000 0.7906  3 Te 2.95
4 Mg 0.3333 0.6667 0.4573  3 Te 2.95
5 Mg 0.3333 0.6667 0.6667  6 Te 2.97
6 Mg 0.3333 0.6667 0.8760  3 Te 2.95
7 Mg 0.6667 0.3333 0.1240  3 Te 2.95
8 Mg 0.6667 0.3333 0.3333  6 Te 2.97
9 Mg 0.6667 0.3333 0.5427  3 Te 2.95
10 Te 0.0000 0.0000 0.3960  6 Mg 2.95-2.97
11 Te 0.0000 0.0000 0.6040  6 Mg 2.95-2.97
12 Te 0.3333 0.6667 0.0627  6 Mg 2.95-2.97
13 Te 0.3333 0.6667 0.2707  6 Mg 2.95-2.97
14 Te 0.6667 0.3333 0.7293  6 Mg 2.95-2.97
15 Te 0.6667 0.3333 0.9373  6 Mg 2.95-2.97

Properties
Energy above the lowest structure with this stoichiometry   0 meV per atom
Formation energy (no corrections)   -0.54 eV per atom
Symmetry   R-3m (166)

=====

5.
A relaxed Mg6Te crystal, computed with PBE-GGA.

a b c (Å): 8.1172 8.1172 8.1172
angles (deg): 90.00 90.00 90.00
Closest atoms and distances in Å follow each position.
Positions (direct):
1 Mg 0.0000 0.2500 0.5000  4 Mg 2.87
2 Mg 0.0000 0.5000 0.2500  4 Mg 2.87
3 Mg 0.0000 0.5000 0.7500  4 Mg 2.87
4 Mg 0.0000 0.7500 0.5000  4 Mg 2.87
5 Mg 0.2500 0.0000 0.5000  4 Mg 2.87
6 Mg 0.2500 0.5000 0.0000  4 Mg 2.87
7 Mg 0.5000 0.0000 0.2500  4 Mg 2.87
8 Mg 0.5000 0.0000 0.7500  4 Mg 2.87
9 Mg 0.5000 0.2500 0.0000  4 Mg 2.87
10 Mg 0.5000 0.7500 0.0000  4 Mg 2.87
11 Mg 0.7500 0.0000 0.5000  4 Mg 2.87
12 Mg 0.7500 0.5000 0.0000  4 Mg 2.87
13 Te 0.0000 0.0000 0.0000  24 Mg 4.54
14 Te 0.5000 0.5000 0.5000  24 Mg 4.54

Properties
Formation energy (no corrections)   0.71 eV per atom
Symmetry   Im-3m (229)

=====

6.
A relaxed Mg3Te crystal, computed with PBE-GGA.

a b c (Å): 5.2169 6.2642 6.1443
angles (deg): 90.00 90.00 90.00
Closest atoms and distances in Å follow each position.
Positions (direct):
1 Mg 0.2500 0.0015 0.1320  1 Te 3.07, 7 Mg 3.07-3.25
2 Mg 0.2500 0.2500 0.6852  4 Te 3.02-3.22, 6 Mg 3.16-3.25
3 Mg 0.2500 0.4985 0.1320  1 Te 3.07, 7 Mg 3.07-3.25
4 Mg 0.7500 0.5015 0.8680  1 Te 3.07, 7 Mg 3.07-3.25
5 Mg 0.7500 0.7500 0.3148  4 Te 3.02-3.22, 6 Mg 3.16-3.25
6 Mg 0.7500 0.9985 0.8680  1 Te 3.07, 7 Mg 3.07-3.25
7 Te 0.2500 0.7500 0.5611  6 Mg 3.02-3.22
8 Te 0.7500 0.2500 0.4389  6 Mg 3.02-3.22

Properties
Energy above the lowest structure with this stoichiometry   41 meV per atom
Formation energy (no corrections)   -0.17 eV per atom
Symmetry   Pmmn (59)

=====

7.
A relaxed MgTe7 crystal, computed with PBE-GGA.

a b c (Å): 6.8285 6.8285 6.8285
angles (deg): 60.00 60.00 60.00
Closest atoms and distances in Å follow each position.
Positions (direct):
1 Mg 0.0000 0.0000 0.0000  12 Te 3.41
2 Te 0.0000 0.0000 0.5000  10 Te 3.41, 2 Mg 3.41
3 Te 0.0000 0.5000 0.0000  10 Te 3.41, 2 Mg 3.41
4 Te 0.0000 0.5000 0.5000  2 Mg 3.41, 10 Te 3.41
5 Te 0.5000 0.0000 0.0000  10 Te 3.41, 2 Mg 3.41
6 Te 0.5000 0.0000 0.5000  2 Mg 3.41, 10 Te 3.41
7 Te 0.5000 0.5000 0.0000  2 Mg 3.41, 10 Te 3.41
8 Te 0.5000 0.5000 0.5000  12 Te 3.41

Properties
Formation energy (no corrections)   0.26 eV per atom
Symmetry   Fm-3m (225)

=====

8.
A relaxed Mg4Te3 crystal, computed with PBE-GGA.

a b c (Å): 4.1247 4.1247 24.1948
angles (deg): 90.00 90.00 90.00
Closest atoms and distances in Å follow each position.
Positions (direct):
1 Mg 0.0000 0.0000 0.0581  1 Mg 2.81, 1 Te 2.90
2 Mg 0.0000 0.0000 0.3040  5 Te 2.95-3.05
3 Mg 0.0000 0.0000 0.6960  5 Te 2.95-3.05
4 Mg 0.0000 0.0000 0.9419  1 Mg 2.81, 1 Te 2.90
5 Mg 0.5000 0.5000 0.1960  5 Te 2.95-3.05
6 Mg 0.5000 0.5000 0.4419  1 Mg 2.81, 1 Te 2.90
7 Mg 0.5000 0.5000 0.5581  1 Mg 2.81, 1 Te 2.90
8 Mg 0.5000 0.5000 0.8040  5 Te 2.95-3.05
9 Te 0.0000 0.0000 0.1780  6 Mg 2.90-3.05
10 Te 0.0000 0.0000 0.5000  8 Mg 3.24
11 Te 0.0000 0.0000 0.8220  6 Mg 2.90-3.05
12 Te 0.5000 0.5000 0.0000  8 Mg 3.24
13 Te 0.5000 0.5000 0.3220  6 Mg 2.90-3.05
14 Te 0.5000 0.5000 0.6780  6 Mg 2.90-3.05

Properties
Energy above the lowest structure with this stoichiometry   67 meV per atom
Formation energy (no corrections)   -0.45 eV per atom
Symmetry   I4/mmm (139)

=====

9.
A relaxed Mg5Te crystal, computed with PBE-GGA.

a b c (Å): 5.4628 3.3871 15.7581
angles (deg): 90.00 90.00 90.00
Closest atoms and distances in Å follow each position.
Positions (direct):
1 Mg 0.0000 0.0000 0.0000  8 Mg 3.11-3.39, 4 Te 3.33
2 Mg 0.0000 0.0000 0.3321  12 Mg 3.12-3.39
3 Mg 0.0000 0.0000 0.6659  10 Mg 3.11-3.39, 2 Te 3.24
4 Mg 0.0000 0.5000 0.1659  10 Mg 3.11-3.39, 2 Te 3.24
5 Mg 0.0000 0.5000 0.5000  8 Mg 3.11-3.39, 4 Te 3.33
6 Mg 0.0000 0.5000 0.8321  12 Mg 3.12-3.39
7 Mg 0.5000 0.0000 0.2196  10 Mg 3.09-3.39, 2 Te 3.09
8 Mg 0.5000 0.0000 0.8833  10 Mg 3.09-3.39, 2 Te 3.20
9 Mg 0.5000 0.5000 0.3833  10 Mg 3.09-3.39, 2 Te 3.20
10 Mg 0.5000 0.5000 0.7196  10 Mg 3.09-3.39, 2 Te 3.09
11 Te 0.5000 0.0000 0.5553  10 Mg 3.09-3.33, 2 Te 3.39
12 Te 0.5000 0.5000 0.0553  10 Mg 3.09-3.33, 2 Te 3.39

Properties
Energy above the lowest structure with this stoichiometry   61 meV per atom
Formation energy (no corrections)   -0.06 eV per atom
Symmetry   Amm2 (38)

=====

10.
A relaxed Mg3Te crystal, computed with PBE-GGA.

a b c (Å): 7.4080 7.4080 7.4080
angles (deg): 90.00 90.00 90.00
Closest atoms and distances in Å follow each position.
Positions (direct):
1 Mg 0.0000 0.0000 0.0000  8 Mg 3.21
2 Mg 0.0000 0.5000 0.5000  8 Mg 3.21
3 Mg 0.2500 0.2500 0.2500  4 Te 3.21, 4 Mg 3.21
4 Mg 0.2500 0.2500 0.7500  4 Te 3.21, 4 Mg 3.21
5 Mg 0.2500 0.7500 0.2500  4 Te 3.21, 4 Mg 3.21
6 Mg 0.2500 0.7500 0.7500  4 Te 3.21, 4 Mg 3.21
7 Mg 0.5000 0.0000 0.5000  8 Mg 3.21
8 Mg 0.5000 0.5000 0.0000  8 Mg 3.21
9 Mg 0.7500 0.2500 0.2500  4 Te 3.21, 4 Mg 3.21
10 Mg 0.7500 0.2500 0.7500  4 Te 3.21, 4 Mg 3.21
11 Mg 0.7500 0.7500 0.2500  4 Te 3.21, 4 Mg 3.21
12 Mg 0.7500 0.7500 0.7500  4 Te 3.21, 4 Mg 3.21
13 Te 0.0000 0.0000 0.5000  8 Mg 3.21
14 Te 0.0000 0.5000 0.0000  8 Mg 3.21
15 Te 0.5000 0.0000 0.0000  8 Mg 3.21
16 Te 0.5000 0.5000 0.5000  8 Mg 3.21

Properties
Energy above the lowest structure with this stoichiometry   183 meV per atom
Formation energy (no corrections)   -0.03 eV per atom
Symmetry   Fm-3m (225)

=====

Question: Which of these has the highest formation energy (no corrections)?
Answer: Mg6Te